Below is crystalline Na17ZnGa11 at its relaxed geometry, with properties calculated at the PBE level.

N(E_F), states/eV/cell: 11.2
ΔH_f (0 K), meV/atom: -55.6
Space group: No. 8

Cell: 9.645 9.645 9.678 Å, 109.44 109.44 109.68°
Fractional positions:
Na 0.001 0.001 0.349
Na 0.690 0.690 0.283
Na 0.649 0.649 0.652
Na 0.407 0.407 0.721
Na 0.997 0.997 0.998
Na 0.313 0.594 0.000
Na 0.409 0.720 0.408
Na 0.999 0.311 0.594
Na 0.998 0.352 0.998
Na 0.281 0.686 0.687
Na 0.595 0.001 0.312
Na 0.001 0.595 0.312
Na 0.686 0.281 0.687
Na 0.352 0.998 0.998
Na 0.311 0.999 0.594
Na 0.720 0.409 0.408
Na 0.594 0.313 0.000
Zn 0.336 0.336 0.164
Ga 0.176 0.176 0.820
Ga 0.647 0.823 0.001
Ga 0.182 0.355 0.355
Ga 0.823 0.001 0.649
Ga 0.645 0.000 0.828
Ga 0.827 0.182 0.176
Ga 0.182 0.827 0.176
Ga 0.000 0.645 0.828
Ga 0.001 0.823 0.649
Ga 0.355 0.182 0.355
Ga 0.823 0.647 0.001